Arrangement one

PmDy6Se8 (PBE, relaxed); total moment = 0.01 μB per formula unit; calculated density = 6.33 g cm⁻³
1.0
-3.5359 -3.7412 -5.7614
4.4361 -6.0747 1.7643
-5.4257 -1.9548 5.1414
Pm Dy Se
1 6 8
Cartesian
0.0000 0.0000 0.0000 Pm
-4.5742 -6.4875 1.4821 Dy
-1.2086 -7.7321 1.9904 Dy
-2.5796 -7.5305 -1.3583 Dy
0.0486 -5.2832 -0.3379 Dy
-3.3169 -4.0386 -0.8462 Dy
-1.9460 -4.2402 2.5025 Dy
-3.4833 -9.0598 0.8807 Se
-1.0423 -2.7109 0.2635 Se
0.0902 -8.1326 -0.7317 Se
-5.2706 -6.1183 -1.2126 Se
-2.8198 -6.5571 3.9670 Se
-4.6158 -3.6381 1.8759 Se
0.7451 -5.6525 2.3568 Se
-1.7058 -5.2136 -2.8228 Se

Arrangement two

PmDy6Se8 (PBE, relaxed); total moment = 0.00 μB per formula unit; calculated density = 7.64 g cm⁻³
1.0
-6.0978 4.4743 2.9997
-5.5043 -3.4078 4.9285
-0.1276 1.9247 7.9045
Pm Dy Se
1 6 8
Cartesian
0.0000 0.0000 0.0000 Pm
-2.8160 -0.7416 6.4165 Dy
-3.0489 2.2372 1.4998 Dy
-5.8011 0.5333 3.9641 Dy
-0.0638 0.9623 3.9522 Dy
-2.7522 -1.7039 2.4643 Dy
-3.1127 3.1995 5.4521 Dy
-8.7973 2.2434 11.8745 Se
-2.9324 0.7478 3.9582 Se
-5.9774 2.9337 5.5426 Se
-5.7524 0.0575 10.2901 Se
-3.0949 1.7028 7.9106 Se
-8.6348 1.2884 7.9221 Se
-6.0390 3.8630 9.3589 Se
-5.6908 -0.8718 6.4738 Se

Of them, the most stable is arrangement two and the least stable is arrangement one.

Arrangement one

Pm2DySi (PBE, relaxed); total moment = 0.00 μB per formula unit; calculated density = 6.48 g cm⁻³
1.0
-0.0443 -3.0306 2.2529
-0.5643 -3.4344 -1.4658
9.6334 -3.2341 -0.9958
Si Pm Dy
1 2 1
Cartesian
0.0000 0.0000 0.0000 Si
1.7055 -2.3644 0.0183 Pm
7.3194 -7.3348 -0.2269 Pm
4.5124 -4.8496 -0.1043 Dy

Arrangement two

Pm2DySi (PBE, relaxed); total moment = 0.00 μB per formula unit; calculated density = 7.30 g cm⁻³
1.0
4.0476 0.0000 0.0000
0.0000 4.0476 0.0000
0.0000 0.0000 6.6688
Si Pm Dy
1 2 1
Cartesian
2.0238 2.0238 0.0000 Si
0.0000 0.0000 5.2120 Pm
0.0000 0.0000 1.4568 Pm
2.0238 2.0238 3.3344 Dy

Of them, the most stable is arrangement two and the least stable is arrangement one.

Arrangement one

Pm2DySi2 (PBE, relaxed); total moment = 0.00 μB per formula unit; calculated density = 6.74 g cm⁻³
1.0
4.3505 0.0000 0.0000
0.0000 7.5914 0.0000
0.0000 0.0000 7.5914
Pm Dy Si
4 2 4
Cartesian
2.1752 1.3429 5.1386 Pm
2.1752 5.1386 6.2486 Pm
2.1752 6.2486 2.4528 Pm
2.1752 2.4528 1.3429 Pm
0.0000 0.0000 0.0000 Dy
0.0000 3.7957 3.7957 Dy
0.0000 2.9273 6.7230 Si
0.0000 6.7230 4.6642 Si
0.0000 4.6642 0.8684 Si
0.0000 0.8684 2.9273 Si

Arrangement two

Pm2DySi2 (PBE, relaxed); total moment = 0.00 μB per formula unit; calculated density = 6.32 g cm⁻³
1.0
-3.6885 -1.1427 1.0329
2.0842 -2.1964 5.0126
-3.5476 12.0342 0.6446
Pm Dy Si
4 2 4
Cartesian
-2.4058 8.4979 4.6769 Pm
-2.7461 0.1971 2.0132 Pm
-2.2669 5.7935 2.1811 Pm
-2.8850 2.9016 4.5090 Pm
0.0278 0.4960 4.5152 Dy
-5.1798 8.1990 2.1749 Dy
-1.3333 5.3524 5.0272 Si
-3.8187 3.3426 1.6629 Si
-3.6459 10.7000 2.6847 Si
-1.5060 -2.0049 4.0055 Si

Of them, the most stable is arrangement one and the least stable is arrangement two.

Arrangement one

PmDySi4 (PBE, relaxed); total moment = 0.00 μB per formula unit; calculated density = 6.36 g cm⁻³
1.0
-0.4142 1.8649 -5.0204
-4.1058 -1.5346 -3.1050
-3.8753 3.5023 -1.2530
Si Pm Dy
4 1 1
Cartesian
-3.3174 0.6556 -5.2301 Si
-3.2031 3.1515 -4.3124 Si
-5.2376 2.3911 -5.8510 Si
-5.0324 1.4670 -3.3633 Si
0.0000 0.0000 0.0000 Pm
-2.0988 0.9581 -2.3446 Dy

Arrangement two

PmDySi4 (PBE, relaxed); total moment = 0.00 μB per formula unit; calculated density = 5.88 g cm⁻³
1.0
3.8448 0.0000 -1.1872
-0.3666 3.8273 -1.1872
0.3162 0.3479 7.8433
Pm Dy Si
1 1 4
Cartesian
0.8443 3.0444 2.7344 Pm
0.0000 0.0000 0.0000 Dy
2.6037 0.7497 1.6129 Si
2.0715 2.2794 -0.1108 Si
3.2963 1.5118 3.8560 Si
1.7229 1.8958 5.5796 Si

Of them, the most stable is arrangement two and the least stable is arrangement one.

Arrangement one

Pm6Sm2Dy3 (PBE, relaxed); total moment = 0.00 μB per formula unit; calculated density = 7.49 g cm⁻³
1.0
3.5170 -0.8341 0.1016
-0.3854 6.2286 0.4211
-0.7578 -1.1718 16.9174
Pm Sm Dy
6 2 3
Cartesian
0.0610 2.1137 15.6375 Pm
1.2636 -0.8493 13.9310 Pm
2.3128 2.1091 1.8026 Pm
1.1102 5.0720 3.5091 Pm
0.5858 3.5941 9.5660 Pm
1.7880 0.6286 7.8741 Pm
0.2944 1.8022 4.8003 Sm
2.0794 2.4205 12.6398 Sm
0.0000 0.0000 0.0000 Dy
2.6060 3.9146 6.5945 Dy
-0.2322 0.3081 10.8456 Dy

Arrangement two

Pm6Sm2Dy3 (PBE, relaxed); total moment = 0.00 μB per formula unit; calculated density = 7.09 g cm⁻³
1.0
-2.5040 3.9407 -1.0805
-3.2066 -2.6805 -2.3451
-6.0766 -2.4017 15.9506
Pm Sm Dy
6 2 3
Cartesian
-3.7679 -1.7696 2.2780 Pm
-3.4166 1.5410 2.9103 Pm
-8.0192 0.6281 10.2470 Pm
-8.3705 -2.6825 9.6147 Pm
-6.4206 -0.0770 3.9705 Pm
-5.3665 -1.0644 8.5545 Pm
-8.1222 -1.6110 12.9472 Sm
-3.6649 0.4695 -0.4222 Sm
0.0000 0.0000 0.0000 Dy
-8.2366 -0.4372 6.8651 Dy
-3.5506 -0.7042 5.6598 Dy

Of them, the most stable is arrangement one and the least stable is arrangement two.

Arrangement one

Pm12SmDy6 (PBE, relaxed); total moment = 0.00 μB per formula unit; calculated density = 7.22 g cm⁻³
1.0
-1.8795 -7.0236 -4.9985
8.5575 0.8447 -1.9758
0.7821 -4.0364 7.8067
Pm Sm Dy
12 1 6
Cartesian
1.0279 -7.1448 -0.3664 Pm
0.3211 -3.8497 0.8313 Pm
2.4316 -2.5248 -1.8240 Pm
4.3060 -8.5014 -0.8194 Pm
5.0284 -7.6905 2.6564 Pm
7.1390 -6.3656 0.0011 Pm
5.7431 -3.8439 -2.1165 Pm
4.4191 -4.3343 3.7315 Pm
6.4322 -3.0705 1.1988 Pm
1.7170 -6.3714 2.9489 Pm
3.0409 -5.8810 -2.8991 Pm
3.1541 -1.7139 1.6518 Pm
0.0000 0.0000 0.0000 Sm
1.9052 -9.6964 1.8660 Dy
6.2919 -6.9426 -3.6531 Dy
7.7935 -5.2573 3.5713 Dy
1.1682 -3.2727 4.4855 Dy
5.5549 -0.5189 -1.0336 Dy
-0.3334 -4.9580 -2.7389 Dy

Arrangement two

Pm12SmDy6 (PBE, relaxed); total moment = 0.00 μB per formula unit; calculated density = 7.35 g cm⁻³
1.0
8.5855 0.6956 0.8333
-0.6140 8.5917 0.8333
-0.6140 -0.7154 8.6023
Pm Sm Dy
12 1 6
Cartesian
6.0968 4.8474 4.8248 Pm
2.9118 6.6146 5.6316 Pm
3.8671 3.5389 7.5145 Pm
1.2607 3.7245 5.4442 Pm
4.4457 1.9573 4.6375 Pm
3.4904 5.0330 2.7545 Pm
-0.1987 1.4466 3.2872 Pm
5.8974 5.3417 9.6590 Pm
4.3859 8.3172 8.2582 Pm
7.5561 7.1253 6.9818 Pm
1.4600 3.2302 0.6100 Pm
2.9715 0.2548 2.0108 Pm
0.0000 0.0000 0.0000 Sm
5.6198 8.0497 3.9548 Dy
5.7850 2.6453 1.6421 Dy
0.2528 5.8915 2.8962 Dy
1.7377 0.5222 6.3142 Dy
1.5724 5.9266 8.6269 Dy
7.1047 2.6805 7.3728 Dy

Of them, the most stable is arrangement two and the least stable is arrangement one.

Arrangement one

Pm5SmDy3 (PBE, relaxed); total moment = 0.00 μB per formula unit; calculated density = 7.45 g cm⁻³
1.0
8.5306 0.0000 0.0000
0.0000 8.5306 0.0000
-4.2653 -4.2653 8.3483
Pm Sm Dy
10 2 6
Cartesian
-2.5403 1.7250 6.0365 Pm
2.5403 -1.7250 6.0365 Pm
-1.7250 -2.5403 6.0365 Pm
1.7250 2.5403 6.0365 Pm
6.8056 2.5403 2.3118 Pm
1.7250 5.9903 2.3118 Pm
5.9903 6.8056 2.3118 Pm
2.5403 1.7250 2.3118 Pm
4.2653 4.2653 0.0000 Pm
0.0000 0.0000 0.0000 Pm
4.2653 0.0000 4.1742 Sm
0.0000 4.2653 4.1742 Sm
5.3151 1.0498 0.0000 Dy
3.2154 7.4807 0.0000 Dy
7.4807 5.3151 0.0000 Dy
1.0498 3.2154 0.0000 Dy
0.0000 0.0000 4.1742 Dy
4.2653 4.2653 4.1742 Dy

Arrangement two

Pm5SmDy3 (PBE, relaxed); total moment = 0.00 μB per formula unit; calculated density = 7.44 g cm⁻³
1.0
6.7776 0.0000 0.0000
-3.3888 7.6711 -2.9970
0.0000 0.2509 11.6032
Pm Sm Dy
10 2 6
Cartesian
2.1306 0.1881 8.7024 Pm
2.7645 5.0724 -0.2092 Pm
3.3679 1.7088 -0.0740 Pm
0.6243 2.8496 8.8155 Pm
-0.0209 6.0877 2.8786 Pm
4.6470 0.0627 2.9008 Pm
4.0131 5.1978 5.5924 Pm
-0.6243 2.7241 3.0139 Pm
3.4097 1.8342 5.7276 Pm
0.0209 6.2131 8.6802 Pm
5.1529 0.1881 8.7024 Sm
1.6247 0.0627 2.9008 Sm
0.0000 0.0000 0.0000 Dy
2.7074 3.7700 2.8713 Dy
0.0000 0.1254 5.8016 Dy
0.6814 4.1519 5.7349 Dy
4.0702 3.8955 8.6729 Dy
-0.6814 4.0265 -0.0667 Dy

Of them, the most stable is arrangement two and the least stable is arrangement one.

Arrangement one

Pm2SmDy9 (PBE, relaxed); total moment = 0.00 μB per formula unit; calculated density = 8.21 g cm⁻³
1.0
-0.0460 -4.1678 2.8393
4.9792 0.4126 0.6863
-2.3975 8.4252 12.3284
Pm Sm Dy
2 1 9
Cartesian
-0.7990 2.8077 4.1085 Pm
-1.5985 5.6174 8.2199 Pm
0.0000 0.0000 0.0000 Sm
2.4666 -1.8776 1.7628 Dy
1.6677 0.9297 5.8707 Dy
0.8679 3.7402 9.9833 Dy
-0.4219 -0.6820 3.4710 Dy
-1.2218 2.1287 7.5839 Dy
-2.0216 4.9394 11.6967 Dy
2.0907 1.6082 2.3946 Dy
1.2908 4.4189 6.5074 Dy
0.4910 7.2295 10.6202 Dy

Arrangement two

Pm2SmDy9 (PBE, relaxed); total moment = 0.00 μB per formula unit; calculated density = 8.17 g cm⁻³
1.0
3.5087 0.0000 0.0000
0.0000 11.2818 0.0000
0.0000 -5.6409 9.7703
Pm Sm Dy
2 1 9
Cartesian
0.0000 0.0000 6.5136 Pm
0.0000 5.6409 3.2568 Pm
0.0000 0.0000 0.0000 Sm
0.0000 -2.8205 4.8852 Dy
0.0000 2.8205 4.8852 Dy
0.0000 5.6409 0.0000 Dy
1.7544 2.9640 1.7113 Dy
1.7544 -2.6769 8.0591 Dy
1.7544 0.0000 3.4225 Dy
1.7544 5.6409 6.3478 Dy
1.7544 8.3178 1.7113 Dy
1.7544 2.6769 8.0591 Dy

Of them, the most stable is arrangement one and the least stable is arrangement two.